AgOs3F: relaxed, PBE.

Results
E above lowest polymorph ... 0.0 meV/atom
ΔE_f (raw) ... 1.7945 eV/atom
Total magnetization ... 1.998 μB/cell

Lattice parameters (Å, degrees): 4.245 4.245 4.245 90.00 90.00 90.00
Space group Pm-3m (No. 221)
Asymmetric unit:
Ag 0.000 0.000 0.000 x1
Os 0.000 0.500 0.500 x3
F 0.500 0.500 0.500 x1

---

Ce6Hg3Ru: relaxed, PBE.

Results
Total magnetization ... 8.941 μB/cell
DFT formation energy ... -0.15 eV per atom

Lattice parameters (Å, degrees): 9.763 6.836 8.313 90.00 103.87 90.00
Space group C2/m (No. 12)
Asymmetric unit:
Ce 0.123 0.208 0.368 x8
Ce 0.147 0.500 0.876 x4
Hg 0.000 0.000 0.000 x2
Hg 0.181 0.000 0.754 x4
Ru 0.000 0.500 0.500 x2